Compound: LaBN3
Source: the Alexandria database
Functional: PBE
Structure: relaxed

Results
Formation energy without anion corrections: 12.320 eV per formula unit
Size of the total moment: 2.5 Bohr magnetons per cell

Structure (CIF):
```
data_LaBN3
_space_group_name_H-M_alt 'P m -3 m'
_space_group_IT_number 221
_space_group_name_Hall '-P 4 2 3'
_cell_length_a 4.394
_cell_length_b 4.394
_cell_length_c 4.394
_cell_angle_alpha 90.00
_cell_angle_beta 90.00
_cell_angle_gamma 90.00
loop_
_atom_site_label
_atom_site_type_symbol
_atom_site_fract_x
_atom_site_fract_y
_atom_site_fract_z
La1 La 0.000 0.000 0.000
B1 B 0.500 0.500 0.500
N1 N 0.000 0.000 0.500
```

---

Compound: CdAgRu2
Source: the Alexandria database
Functional: PBE
Structure: relaxed

Results
Formation energy from the elements: 416 meV/atom
Size of the total moment: 2.0 Bohr magnetons per cell

Structure (CIF):
```
data_CdAgRu2
_space_group_name_H-M_alt 'C m m 2'
_space_group_IT_number 35
_cell_length_a 2.863
_cell_length_b 4.774
_cell_length_c 9.752
_cell_angle_alpha 90.00
_cell_angle_beta 90.00
_cell_angle_gamma 90.00
loop_
_space_group_symop_operation_xyz
'x,y,z'
'-x,-y,z'
'-x,y,z'
'x,-y,z'
'x+1/2,y+1/2,z'
'-x+1/2,-y+1/2,z'
'-x+1/2,y+1/2,z'
'x+1/2,-y+1/2,z'
loop_
_atom_site_label
_atom_site_type_symbol
_atom_site_fract_x
_atom_site_fract_y
_atom_site_fract_z
Cd1 Cd 0.000 0.000 0.000
Ag1 Ag 0.000 0.500 0.270
Ru1 Ru 0.000 0.000 0.525
Ru2 Ru 0.000 0.500 0.742
```

---

Q: What is the formula in the second record?
A: CdAgRu2

---

Q: The lowest size of the total moment belongs to which entry?
A: CdAgRu2